The following is a DFT calculation (PBE) of HoLuCu2Ge2 after structural relaxation.

```
HoLuCu2Ge2
1.0
4.243 0.000 0.000
-2.121 3.674 0.000
0.000 0.000 7.101
Ho Lu Cu Ge
1 1 2 2
Cartesian
0.000 0.000 0.000
0.000 0.000 3.557
0.000 2.450 1.623
2.121 1.225 4.995
0.000 2.450 5.480
2.121 1.225 1.998
```

Calculated values
final energy = -4.97 eV per atom
space-group type = No. 156

The following is a DFT calculation (PBE) of HoLu2Cu4Ge4 after structural relaxation.

```
HoLu2Cu4Ge4
1.0
-2.069 3.328 6.893
2.069 -3.328 6.893
2.069 3.328 -6.893
Ho Lu Cu Ge
1 2 4 4
Cartesian
0.000 0.000 0.000
2.069 0.000 5.108
0.000 3.328 1.785
2.069 1.275 -2.336
2.069 1.275 2.336
0.000 2.053 4.557
0.000 2.053 9.229
0.000 0.000 2.998
2.069 2.059 0.000
0.000 1.269 6.893
0.000 0.000 10.787
```

Calculated values
final energy = -4.89 eV per atom
space-group type = No. 71

The following is a DFT calculation (PBE) of Ho2LuCu4Si2Ge2 after structural relaxation.

```
Ho2LuCu4Si2Ge2
1.0
-2.078 3.274 6.842
2.078 -3.274 6.842
2.078 3.274 -6.842
Ho Lu Cu Si Ge
2 1 4 2 2
Cartesian
0.000 0.000 1.772
0.000 0.000 11.912
0.000 3.274 0.000
2.078 2.026 -2.244
2.078 2.026 2.244
0.000 1.249 4.598
0.000 1.249 9.086
2.078 1.211 0.000
0.000 2.063 6.842
2.078 0.000 3.888
0.000 3.274 2.955
```

Calculated values
E above lowest polymorph = 10 meV/atom
space-group type = No. 71

The following is a DFT calculation (PBE) of Ho2LuCu4Si2Ge2 after structural relaxation.

```
Ho2LuCu4Si2Ge2
1.0
-2.060 3.276 6.865
2.060 -3.276 6.865
2.060 3.276 -6.865
Ho Lu Cu Si Ge
2 1 4 2 2
Cartesian
0.000 0.000 1.780
0.000 0.000 11.950
0.000 3.276 0.000
2.060 2.024 -2.389
2.060 2.024 2.389
0.000 1.251 4.476
0.000 1.251 9.254
2.060 0.000 3.907
0.000 3.276 2.958
2.060 1.280 0.000
0.000 1.995 6.865
```

Calculated values
E above lowest polymorph = 0 meV/atom
space-group type = No. 71

The following is a DFT calculation (PBE) of NdHo2Cu4Ge4 after structural relaxation.

```
NdHo2Cu4Ge4
1.0
-2.099 3.373 7.007
2.099 -3.373 7.007
2.099 3.373 -7.007
Nd Ho Cu Ge
1 2 4 4
Cartesian
0.000 0.000 0.000
2.099 0.000 5.175
0.000 3.373 1.832
2.099 1.277 -2.357
2.099 1.277 2.357
0.000 2.097 4.650
0.000 2.097 9.364
0.000 0.000 3.068
2.099 2.116 0.000
0.000 1.257 7.007
0.000 0.000 10.947
```

Calculated values
final energy = -4.92 eV per atom
space-group type = No. 71

The following is a DFT calculation (PBE) of Nd2HoCu4Ge4 after structural relaxation.

```
Nd2HoCu4Ge4
1.0
-2.156 3.336 7.108
2.156 -3.336 7.108
2.156 3.336 -7.108
Nd Ho Cu Ge
2 1 4 4
Cartesian
0.000 0.000 1.875
0.000 0.000 12.341
0.000 3.336 0.000
2.156 2.094 -2.366
2.156 2.094 2.366
0.000 1.242 4.742
0.000 1.242 9.474
2.156 1.299 0.000
2.156 0.000 4.055
0.000 3.336 3.053
0.000 2.037 7.108
```

Calculated values
final energy = -4.92 eV per atom
space-group type = No. 71

The following is a DFT calculation (PBE) of NdHo2Cu4Sn2Ge2 after structural relaxation.

```
NdHo2Cu4Sn2Ge2
1.0
-2.146 3.524 7.165
2.146 -3.524 7.165
2.146 3.524 -7.165
Nd Ho Cu Sn Ge
1 2 4 2 2
Cartesian
0.000 0.000 0.000
2.146 0.000 5.228
0.000 3.524 1.937
2.146 1.319 -2.543
2.146 1.319 2.543
0.000 2.205 4.622
0.000 2.205 9.708
2.146 2.133 0.000
0.000 1.391 7.165
0.000 0.000 3.134
0.000 0.000 11.196
```

Calculated values
E above lowest polymorph = 73 meV/atom
space-group type = No. 71

The following is a DFT calculation (PBE) of Nd2HoCu4Sn2Ge2 after structural relaxation.

```
Nd2HoCu4Sn2Ge2
1.0
-2.205 3.448 7.320
2.205 -3.448 7.320
2.205 3.448 -7.320
Nd Ho Cu Sn Ge
2 1 4 2 2
Cartesian
0.000 0.000 1.999
0.000 0.000 12.642
0.000 3.448 0.000
2.205 2.166 -2.557
2.205 2.166 2.557
0.000 1.282 4.763
0.000 1.282 9.877
2.205 1.416 0.000
0.000 2.032 7.320
2.205 0.000 4.194
0.000 3.448 3.126
```

Calculated values
E above lowest polymorph = 71 meV/atom
space-group type = No. 71

The following is a DFT calculation (PBE) of Nd2HoCu4Sn2Ge2 after structural relaxation.

```
Nd2HoCu4Sn2Ge2
1.0
-2.232 3.358 7.337
2.232 -3.358 7.337
2.232 3.358 -7.337
Nd Ho Cu Sn Ge
2 1 4 2 2
Cartesian
0.000 0.000 1.872
0.000 0.000 12.803
0.000 3.358 0.000
2.232 2.107 -2.328
2.232 2.107 2.328
0.000 1.251 5.009
0.000 1.251 9.666
2.232 0.000 4.175
0.000 3.358 3.162
2.232 1.299 0.000
0.000 2.059 7.337
```

Calculated values
E above lowest polymorph = 0 meV/atom
space-group type = No. 71

The following is a DFT calculation (PBE) of NdHo2Cu4Sn2Ge2 after structural relaxation.

```
NdHo2Cu4Sn2Ge2
1.0
-2.176 3.390 7.280
2.176 -3.390 7.280
2.176 3.390 -7.280
Nd Ho Cu Sn Ge
1 2 4 2 2
Cartesian
0.000 0.000 0.000
2.176 0.000 5.463
0.000 3.390 1.817
2.176 1.282 -2.317
2.176 1.282 2.317
0.000 2.108 4.963
0.000 2.108 9.597
0.000 0.000 3.204
0.000 0.000 11.356
2.176 2.127 0.000
0.000 1.263 7.280
```

Calculated values
E above lowest polymorph = 0 meV/atom
space-group type = No. 71

The following is a DFT calculation (PBE) of HoCuGe2Pd after structural relaxation.

```
HoCuGe2Pd
1.0
-2.064 2.064 5.208
2.064 -2.064 5.208
2.064 2.064 -5.208
Ho Cu Ge Pd
1 1 2 1
Cartesian
0.000 0.000 0.000
2.064 0.000 2.604
0.000 0.000 3.987
0.000 0.000 6.429
0.000 2.064 2.604
```

Calculated values
final energy = -5.18 eV per atom
space-group type = No. 119

The following is a DFT calculation (PBE) of PrHoCu2Ge4 after structural relaxation.

```
PrHoCu2Ge4
1.0
4.233 0.000 0.000
0.000 2.101 8.597
0.000 -2.101 8.597
Pr Ho Cu Ge
1 1 2 4
Cartesian
0.000 0.000 0.000
2.117 0.000 3.589
0.000 0.000 13.378
2.117 0.000 7.382
0.000 0.000 6.054
0.000 0.000 11.064
2.117 0.000 9.760
2.117 0.000 14.655
```

Calculated values
final energy = -4.94 eV per atom
space-group type = No. 38

The following is a DFT calculation (PBE) of PrHo2Cu4Ge4 after structural relaxation.

```
PrHo2Cu4Ge4
1.0
-2.102 3.389 7.019
2.102 -3.389 7.019
2.102 3.389 -7.019
Pr Ho Cu Ge
1 2 4 4
Cartesian
0.000 0.000 0.000
2.102 0.000 5.192
0.000 3.389 1.828
2.102 1.284 -2.372
2.102 1.284 2.372
0.000 2.105 4.647
0.000 2.105 9.392
0.000 0.000 3.086
2.102 2.137 0.000
0.000 1.252 7.019
0.000 0.000 10.953
```

Calculated values
final energy = -4.92 eV per atom
space-group type = No. 71

The following is a DFT calculation (PBE) of Ho3CuGeS7 after structural relaxation.

```
Ho3CuGeS7
1.0
9.800 0.000 0.000
-4.900 8.487 0.000
0.000 0.000 5.827
Ho Cu Ge S
6 2 2 14
Cartesian
-0.398 3.040 0.000
-2.068 7.312 0.000
2.434 1.865 2.914
2.467 6.622 0.000
6.968 1.175 2.914
5.299 5.447 2.914
0.000 0.000 2.541
0.000 0.000 5.455
0.000 5.658 3.386
4.900 2.829 0.472
-1.876 4.879 4.332
-0.256 2.218 2.656
-2.851 7.600 2.656
1.793 1.331 5.570
0.000 5.658 1.177
1.613 4.423 4.332
0.263 7.673 4.332
4.637 0.814 1.419
3.287 4.065 1.419
4.900 2.829 4.091
3.108 7.156 2.656
7.751 0.887 5.570
5.157 6.269 5.570
6.777 3.608 1.419
```

Calculated values
final energy = -5.67 eV per atom
space-group type = No. 173

The following is a DFT calculation (PBE) of HoCuGeSe2S after structural relaxation.

```
HoCuGeSe2S
1.0
1.935 -6.529 0.000
1.935 6.529 0.000
0.000 0.000 10.101
Ho Cu Ge Se S
2 2 2 4 2
Cartesian
0.000 0.000 0.000
0.000 0.000 5.051
1.935 0.271 7.576
1.935 -0.271 2.525
1.935 3.405 2.525
1.935 -3.405 7.576
1.935 1.961 5.776
1.935 1.961 9.376
1.935 -1.961 0.725
1.935 -1.961 4.325
1.935 5.443 7.576
1.935 -5.443 2.525
```

Calculated values
final energy = -4.85 eV per atom
space-group type = No. 63

The following is a DFT calculation (PBE) of HoCuGeTeS2 after structural relaxation.

```
HoCuGeTeS2
1.0
1.939 -6.560 0.000
1.939 6.560 0.000
0.000 0.000 10.845
Ho Cu Ge Te S
2 2 2 2 4
Cartesian
0.000 0.000 0.000
0.000 0.000 5.422
1.939 0.312 8.133
1.939 -0.312 2.711
1.939 4.029 2.711
1.939 -4.029 8.133
1.939 5.067 8.133
1.939 -5.067 2.711
1.939 1.711 6.281
1.939 1.711 9.985
1.939 -1.711 0.859
1.939 -1.711 4.563
```

Calculated values
final energy = -4.84 eV per atom
space-group type = No. 63

The following is a DFT calculation (PBE) of HoSc2Cu4Ge4 after structural relaxation.

```
HoSc2Cu4Ge4
1.0
-2.021 3.329 6.744
2.021 -3.329 6.744
2.021 3.329 -6.744
Ho Sc Cu Ge
1 2 4 4
Cartesian
0.000 0.000 0.000
2.021 0.000 5.037
0.000 3.329 1.707
2.021 1.282 -2.315
2.021 1.282 2.315
0.000 2.046 4.430
0.000 2.046 9.059
0.000 0.000 2.979
2.021 2.078 0.000
0.000 1.251 6.744
0.000 0.000 10.509
```

Calculated values
final energy = -5.20 eV per atom
space-group type = No. 71

The following is a DFT calculation (PBE) of Ho2ScCu4Ge4 after structural relaxation.

```
Ho2ScCu4Ge4
1.0
-2.082 3.278 6.881
2.082 -3.278 6.881
2.082 3.278 -6.881
Ho Sc Cu Ge
2 1 4 4
Cartesian
0.000 0.000 1.773
0.000 0.000 11.989
0.000 3.278 0.000
2.082 2.021 -2.348
2.082 2.021 2.348
0.000 1.257 4.533
0.000 1.257 9.230
2.082 1.312 0.000
2.082 0.000 3.941
0.000 3.278 2.940
0.000 1.966 6.881
```

Calculated values
final energy = -5.04 eV per atom
space-group type = No. 71

The following is a DFT calculation (PBE) of HoCuGeTe2Se after structural relaxation.

```
HoCuGeTe2Se
1.0
2.036 -7.115 0.000
2.036 7.115 0.000
0.000 0.000 10.406
Ho Cu Ge Te Se
2 2 2 4 2
Cartesian
0.000 0.000 0.000
0.000 0.000 5.203
2.036 0.305 7.805
2.036 -0.305 2.602
2.036 3.697 2.602
2.036 -3.697 7.805
2.036 2.184 5.913
2.036 2.184 9.697
2.036 -2.184 0.710
2.036 -2.184 4.493
2.036 5.963 7.805
2.036 -5.963 2.602
```

Calculated values
final energy = -4.40 eV per atom
space-group type = No. 63

The following is a DFT calculation (PBE) of HoCuGeTeSe2 after structural relaxation.

```
HoCuGeTeSe2
1.0
1.985 -6.695 0.000
1.985 6.695 0.000
0.000 0.000 11.046
Ho Cu Ge Te Se
2 2 2 2 4
Cartesian
0.000 0.000 0.000
0.000 0.000 5.523
1.985 0.390 8.285
1.985 -0.390 2.762
1.985 4.077 2.762
1.985 -4.077 8.285
1.985 5.324 8.285
1.985 -5.324 2.762
1.985 1.891 6.324
1.985 1.891 10.246
1.985 -1.891 0.801
1.985 -1.891 4.723
```

Calculated values
final energy = -4.58 eV per atom
space-group type = No. 63